Version P
The following is a PBE calculation of a geometry-optimized Li2YTa structure, from Alexandria via LeMat-Bulk.

Its spin magnetization is 0.00 Bohr magnetons per cell.

The space group is P4mm (No. 99) and the conventional cell measures 3.084, 3.084 and 8.925 Å, with angles of 90.00, 90.00 and 90.00 degrees. Symmetry generates all atoms from Li at (0.000, 0.000, 0.000), Li at (0.500, 0.500, 0.213), Y at (0.500, 0.500, 0.696) and Ta at (0.000, 0.000, 0.445).

=====

Version Q
The following is a PBE calculation of a geometry-optimized Li2YTa structure, from Alexandria via LeMat-Bulk.

Its spin magnetization is 1.10 Bohr magnetons per cell.

The space group is I-4m2 (No. 119) and the conventional cell measures 4.175, 4.175 and 9.142 Å, with angles of 90.00, 90.00 and 90.00 degrees. Symmetry generates all atoms from Li at (0.000, 0.000, 0.000), Li at (0.000, 0.500, 0.250), Y at (0.000, 0.000, 0.500) and Ta at (0.000, 0.500, 0.750).

=====

Version R
The following is a PBE calculation of a geometry-optimized Li2YTa structure, from Alexandria via LeMat-Bulk.

Its spin magnetization is 0.00 Bohr magnetons per cell.

The space group is I4/mmm (No. 139) and the conventional cell measures 4.279, 4.279 and 8.754 Å, with angles of 90.00, 90.00 and 90.00 degrees. Symmetry generates all atoms from Li at (0.000, 0.500, 0.250), Y at (0.000, 0.000, 0.000) and Ta at (0.000, 0.000, 0.500).

=====

Q: Which of them is the least stable? A: version Q.

=====

Version P
The following is a PBE calculation of a geometry-optimized LiYTa2 structure, from Alexandria via LeMat-Bulk.

Its spin magnetization is 0.00 Bohr magnetons per cell.

The space group is P4/mmm (No. 123) and the conventional cell measures 4.016, 4.016 and 5.009 Å, with angles of 90.00, 90.00 and 90.00 degrees. Symmetry generates all atoms from Li at (0.000, 0.000, 0.000), Y at (0.500, 0.500, 0.000) and Ta at (0.000, 0.500, 0.500).

=====

Version Q
The following is a PBE calculation of a geometry-optimized LiYTa2 structure, from Alexandria via LeMat-Bulk.

Its spin magnetization is 0.00 Bohr magnetons per cell.

The space group is P4mm (No. 99) and the conventional cell measures 3.496, 3.496 and 6.996 Å, with angles of 90.00, 90.00 and 90.00 degrees. Symmetry generates all atoms from Li at (0.000, 0.000, 0.000), Y at (0.500, 0.500, 0.694), Ta at (0.000, 0.000, 0.408) and Ta at (0.500, 0.500, 0.234).

=====

Q: Which of them is the least stable? A: version P.

=====

Version P
The following is a PBE calculation of a geometry-optimized LiYTa2 structure, from Alexandria via LeMat-Bulk.

Its spin magnetization is 0.00 Bohr magnetons per cell.

The space group is I4/mmm (No. 139) and the conventional cell measures 4.065, 4.065 and 9.775 Å, with angles of 90.00, 90.00 and 90.00 degrees. Symmetry generates all atoms from Li at (0.000, 0.000, 0.000), Y at (0.000, 0.000, 0.500) and Ta at (0.000, 0.500, 0.250).

=====

Version Q
The following is a PBE calculation of a geometry-optimized LiYTa2 structure, from Alexandria via LeMat-Bulk.

Its spin magnetization is 0.00 Bohr magnetons per cell.

The space group is Pm (No. 6) and the conventional cell measures 2.998, 4.518 and 6.338 Å, with angles of 90.00, 103.48 and 90.00 degrees. Symmetry generates all atoms from Li at (0.000, 0.000, 0.000), Y at (0.381, 0.500, 0.760), Ta at (0.128, 0.500, 0.266) and Ta at (0.709, 0.000, 0.426).

=====

Version R
The following is a PBE calculation of a geometry-optimized LiYTa2 structure, from Alexandria via LeMat-Bulk.

Its spin magnetization is 0.00 Bohr magnetons per cell.

The space group is Cmm2 (No. 35) and the conventional cell measures 3.389, 4.928 and 10.223 Å, with angles of 90.00, 90.00 and 90.00 degrees. Symmetry generates all atoms from Li at (0.000, 0.000, 0.000), Y at (0.000, 0.500, 0.712), Ta at (0.000, 0.000, 0.451) and Ta at (0.000, 0.500, 0.243).

=====

Version S
The following is a PBE calculation of a geometry-optimized LiYTa2 structure, from Alexandria via LeMat-Bulk.

Its spin magnetization is 0.00 Bohr magnetons per cell.

The space group is R-3m (No. 166, hexagonal axes) and the conventional cell measures 2.9672, 2.9672 and 32.5337 Å, with angles of 90.00, 90.00 and 120.00 degrees. Symmetry generates all atoms from Li at (0.0000, 0.0000, 0.0000), Y at (0.0000, 0.0000, 0.5000) and Ta at (0.0000, 0.0000, 0.2532).

=====

Q: Which of them is the least stable? A: version S.

=====

Version P
The following is a PBE calculation of a geometry-optimized LiYTa2 structure, from Alexandria via LeMat-Bulk.

Its spin magnetization is 0.00 Bohr magnetons per cell.

The space group is Pmmm (No. 47) and the conventional cell measures 3.269, 4.627 and 5.342 Å, with angles of 90.00, 90.00 and 90.00 degrees. Symmetry generates all atoms from Li at (0.000, 0.000, 0.000), Y at (0.500, 0.500, 0.000), Ta at (0.000, 0.500, 0.500) and Ta at (0.500, 0.000, 0.500).

=====

Version Q
The following is a PBE calculation of a geometry-optimized LiYTa2 structure, from Alexandria via LeMat-Bulk.

Its spin magnetization is 0.00 Bohr magnetons per cell.

The space group is Cm (No. 8) and the conventional cell measures 9.757, 2.959 and 5.839 Å, with angles of 90.00, 95.24 and 90.00 degrees. Symmetry generates all atoms from Li at (0.000, 0.000, 0.000), Y at (0.254, 0.500, 0.237), Ta at (0.017, 0.500, 0.575) and Ta at (0.257, 0.000, 0.713).

=====

Q: Which of them is the least stable? A: version Q.

=====

Version P
The following is a PBE calculation of a geometry-optimized LiYTa2 structure, from Alexandria via LeMat-Bulk.

Its spin magnetization is 0.00 Bohr magnetons per cell.

The space group is I-4m2 (No. 119) and the conventional cell measures 4.799, 4.799 and 6.801 Å, with angles of 90.00, 90.00 and 90.00 degrees. Symmetry generates all atoms from Li at (0.000, 0.000, 0.000), Y at (0.000, 0.500, 0.750), Ta at (0.000, 0.000, 0.500) and Ta at (0.000, 0.500, 0.250).

=====

Version Q
The following is a PBE calculation of a geometry-optimized LiYTa2 structure, from Alexandria via LeMat-Bulk.

Its spin magnetization is 0.00 Bohr magnetons per cell.

The space group is P4/mmm (No. 123) and the conventional cell measures 2.908, 2.908 and 9.318 Å, with angles of 90.00, 90.00 and 90.00 degrees. Symmetry generates all atoms from Li at (0.000, 0.000, 0.000), Y at (0.000, 0.000, 0.500) and Ta at (0.500, 0.500, 0.226).

=====

Q: Which of them is the least stable? A: version Q.

=====

Version P
The following is a PBE calculation of a geometry-optimized LiYTa2 structure, from Alexandria via LeMat-Bulk.

Its spin magnetization is 0.00 Bohr magnetons per cell.

The space group is Fm-3m (No. 225) and the conventional cell measures 6.806, 6.806 and 6.806 Å, with angles of 90.00, 90.00 and 90.00 degrees. Symmetry generates all atoms from Li at (0.000, 0.000, 0.000), Y at (0.000, 0.000, 0.500) and Ta at (0.250, 0.250, 0.250).

=====

Version Q
The following is a PBE calculation of a geometry-optimized LiYTa2 structure, from Alexandria via LeMat-Bulk.

Its spin magnetization is 0.00 Bohr magnetons per cell.

The space group is P2/m (No. 10) and the conventional cell measures 2.978, 5.244 and 5.340 Å, with angles of 90.00, 102.47 and 90.00 degrees. Symmetry generates all atoms from Li at (0.000, 0.000, 0.000), Y at (0.500, 0.000, 0.500) and Ta at (0.160, 0.500, 0.768).

=====

Version R
The following is a PBE calculation of a geometry-optimized LiYTa2 structure, from Alexandria via LeMat-Bulk.

Its spin magnetization is 0.00 Bohr magnetons per cell.

The space group is Pmmm (No. 47) and the conventional cell measures 2.828, 5.111 and 5.681 Å, with angles of 90.00, 90.00 and 90.00 degrees. Symmetry generates all atoms from Li at (0.000, 0.000, 0.000), Y at (0.000, 0.000, 0.500) and Ta at (0.500, 0.500, 0.254).

=====

Q: Which of them is the least stable? A: version P.

=====

Version P
The following is a PBE calculation of a geometry-optimized Li3YTa structure, from Alexandria via LeMat-Bulk.

Its spin magnetization is 4.05 Bohr magnetons per cell.

The space group is Pm-3m (No. 221) and the conventional cell measures 4.934, 4.934 and 4.934 Å, with angles of 90.00, 90.00 and 90.00 degrees. Symmetry generates all atoms from Li at (0.000, 0.000, 0.500), Y at (0.500, 0.500, 0.500) and Ta at (0.000, 0.000, 0.000).

=====

Version Q
The following is a PBE calculation of a geometry-optimized Li3YTa structure, from Alexandria via LeMat-Bulk.

Its spin magnetization is 0.00 Bohr magnetons per cell.

The space group is Pm-3m (No. 221) and the conventional cell measures 4.583, 4.583 and 4.583 Å, with angles of 90.00, 90.00 and 90.00 degrees. Symmetry generates all atoms from Li at (0.000, 0.000, 0.500), Y at (0.000, 0.000, 0.000) and Ta at (0.500, 0.500, 0.500).

=====

Q: Which of them is the least stable? A: version Q.

=====

Version P
The following is a PBE calculation of a geometry-optimized LiTaZn structure, from Alexandria via LeMat-Bulk.

Its spin magnetization is 0.00 Bohr magnetons per cell.

The space group is P6_3/mmc (No. 194) and the conventional cell measures 3.4906, 3.4906 and 10.5253 Å, with angles of 90.00, 90.00 and 120.00 degrees. Symmetry generates all atoms from Li at (0.3333, 0.6667, 0.2500), Ta at (0.0000, 0.0000, 0.0000) and Zn at (0.0000, 0.0000, 0.2500).

=====

Version Q
The following is a PBE calculation of a geometry-optimized LiTaZn structure, from Alexandria via LeMat-Bulk.

Its spin magnetization is 0.00 Bohr magnetons per cell.

The space group is F-43m (No. 216) and the conventional cell measures 6.096, 6.096 and 6.096 Å, with angles of 90.00, 90.00 and 90.00 degrees. Symmetry generates all atoms from Li at (0.000, 0.000, 0.000), Ta at (0.250, 0.250, 0.750) and Zn at (0.000, 0.000, 0.500).

=====

Q: Which of them is the least stable? A: version P.

=====

Version P
The following is a PBE calculation of a geometry-optimized LiTaZn structure, from Alexandria via LeMat-Bulk.

Its spin magnetization is 0.00 Bohr magnetons per cell.

The space group is Pnma (No. 62) and the conventional cell measures 6.259, 2.911 and 10.963 Å, with angles of 90.00, 90.00 and 90.00 degrees. Symmetry generates all atoms from Li at (0.110, 0.250, 0.098), Ta at (0.104, 0.250, 0.414) and Zn at (0.140, 0.250, 0.752).

=====

Version Q
The following is a PBE calculation of a geometry-optimized LiTaZn structure, from Alexandria via LeMat-Bulk.

Its spin magnetization is 0.00 Bohr magnetons per cell.

The space group is F-43m (No. 216) and the conventional cell measures 5.940, 5.940 and 5.940 Å, with angles of 90.00, 90.00 and 90.00 degrees. Symmetry generates all atoms from Li at (0.000, 0.000, 0.000), Ta at (0.000, 0.000, 0.500) and Zn at (0.250, 0.250, 0.250).

=====

Version R
The following is a PBE calculation of a geometry-optimized LiTaZn structure, from Alexandria via LeMat-Bulk.

Its spin magnetization is 0.00 Bohr magnetons per cell.

The space group is P4/nmm (No. 129, origin choice 2) and the conventional cell measures 2.818, 2.818 and 12.244 Å, with angles of 90.00, 90.00 and 90.00 degrees. Symmetry generates all atoms from Li at (0.250, 0.250, 0.088), Ta at (0.250, 0.250, 0.405) and Zn at (0.250, 0.250, 0.765).

=====

Q: Which of them is the least stable? A: version Q.

=====

Version P
The following is a PBE calculation of a geometry-optimized LiTaZn structure, from Alexandria via LeMat-Bulk.

Its spin magnetization is 0.00 Bohr magnetons per cell.

The space group is Cmmm (No. 65) and the conventional cell measures 3.868, 11.694 and 4.079 Å, with angles of 90.00, 90.00 and 90.00 degrees. Symmetry generates all atoms from Li at (0.000, 0.181, 0.000), Ta at (0.000, 0.000, 0.500), Ta at (0.000, 0.500, 0.000) and Zn at (0.000, 0.328, 0.500).

=====

Version Q
The following is a PBE calculation of a geometry-optimized LiTaZn structure, from Alexandria via LeMat-Bulk.

Its spin magnetization is 0.00 Bohr magnetons per cell.

The space group is Pmm2 (No. 25) and the conventional cell measures 2.881, 3.786 and 8.986 Å, with angles of 90.00, 90.00 and 90.00 degrees. Symmetry generates all atoms from Li at (0.000, 0.000, 0.000), Li at (0.000, 0.000, 0.308), Ta at (0.000, 0.000, 0.639), Ta at (0.500, 0.500, 0.808), Zn at (0.500, 0.500, 0.136) and Zn at (0.500, 0.500, 0.460).

=====

Version R
The following is a PBE calculation of a geometry-optimized LiTaZn structure, from Alexandria via LeMat-Bulk.

Its spin magnetization is 0.00 Bohr magnetons per cell.

The space group is R-3m (No. 166, hexagonal axes) and the conventional cell measures 2.8607, 2.8607 and 45.2392 Å, with angles of 90.00, 90.00 and 120.00 degrees. Symmetry generates all atoms from Li at (0.0000, 0.0000, 0.1944), Ta at (0.0000, 0.0000, 0.3619) and Zn at (0.0000, 0.0000, 0.2521).

=====

Q: Which of them is the least stable? A: version R.

=====

Version P
The following is a PBE calculation of a geometry-optimized Li3TaZn structure, from Alexandria via LeMat-Bulk.

Its spin magnetization is 4.36 Bohr magnetons per cell.

The space group is Pm-3m (No. 221) and the conventional cell measures 5.162, 5.162 and 5.162 Å, with angles of 90.00, 90.00 and 90.00 degrees. Symmetry generates all atoms from Li at (0.000, 0.000, 0.500), Ta at (0.000, 0.000, 0.000) and Zn at (0.500, 0.500, 0.500).

=====

Version Q
The following is a PBE calculation of a geometry-optimized Li3TaZn structure, from Alexandria via LeMat-Bulk.

Its spin magnetization is 0.00 Bohr magnetons per cell.

The space group is Pm-3m (No. 221) and the conventional cell measures 4.333, 4.333 and 4.333 Å, with angles of 90.00, 90.00 and 90.00 degrees. Symmetry generates all atoms from Li at (0.000, 0.000, 0.500), Ta at (0.500, 0.500, 0.500) and Zn at (0.000, 0.000, 0.000).

=====

Q: Which of them is the least stable? A: version P.